Below is a relaxed structure of V2BIrCl, with properties calculated at the PBE level.

Cell: 4.2384 3.8205 4.2384 Å, 90.00 90.00 90.00°
Positions (direct):
Cl: 0.0000 0.0000 0.0000
B: 0.0000 0.5000 0.0000
Ir: 0.5000 0.5000 0.5000
V: 0.0000 0.0000 0.5000
V: 0.5000 0.0000 0.0000

Magnetization = 0.00 μB/f.u.
Raw formation energy = 1.25 eV/atom
Calculated volume = 13.73 Å³ per atom
Theoretical density = 8.24 g/cm³